1.
Entry from Alexandria via LeMat-Bulk: an optimized crystal structure of Ti11Cu4Pd9 (PBE).

```
Ti11Cu4Pd9
1.0
6.3532 -10.0663 0.0000
6.3532 10.0663 0.0000
0.0000 0.0000 2.8785
Ti Cu Pd
11 4 9
Cartesian
0.0000 0.0000 0.0000 Ti
2.8081 3.5432 0.0000 Ti
6.3532 6.6498 0.0000 Ti
3.6193 0.0000 0.0000 Ti
6.3532 2.6762 0.0000 Ti
2.8081 -3.5432 0.0000 Ti
9.8983 3.5432 0.0000 Ti
6.3532 -2.6762 0.0000 Ti
9.0871 0.0000 0.0000 Ti
6.3532 -6.6498 0.0000 Ti
9.8983 -3.5432 0.0000 Ti
4.3720 1.9795 1.4393 Cu
4.3720 -1.9795 1.4393 Cu
8.3345 1.9795 1.4393 Cu
8.3345 -1.9795 1.4393 Cu
1.7104 1.4665 1.4393 Pd
4.9381 4.6196 1.4393 Pd
1.7104 -1.4665 1.4393 Pd
7.7683 4.6196 1.4393 Pd
6.3532 0.0000 1.4393 Pd
4.9381 -4.6196 1.4393 Pd
10.9960 1.4665 1.4393 Pd
7.7683 -4.6196 1.4393 Pd
10.9960 -1.4665 1.4393 Pd
```

ρ ... 7.8 Mg/m³
Spin magnetization ... 0.15 μB/atom
Symmetry ... Cmmm, No. 65
Energy of formation ... -36.4 kJ per mole of atoms



2.
Entry from Alexandria via LeMat-Bulk: an optimized crystal structure of CaScRh (PBE).

```
CaScRh
1.0
1.9320 -5.6949 0.0000
1.9320 5.6949 0.0000
0.0000 0.0000 6.4167
Ca Sc Rh
2 2 2
Cartesian
1.9320 3.2493 4.8125 Ca
1.9320 -3.2493 1.6042 Ca
1.9320 0.0000 0.0000 Sc
1.9320 0.0000 3.2083 Sc
1.9320 4.7849 1.6042 Rh
1.9320 -4.7849 4.8125 Rh
```

ρ ... 4.4 Mg/m³
Spin magnetization ... 0.00 μB/atom
Excess energy over the best structure of this formula in the dataset ... 0.074 eV/atom
Symmetry ... Cmcm, No. 63
Energy of formation ... -51.4 kJ per mole of atoms



3.
Entry from Alexandria via LeMat-Bulk: an optimized crystal structure of Cs4Rb3O2 (PBE).

```
Cs4Rb3O2
1.0
10.4079 -7.9596 0.0000
10.4079 7.9596 0.0000
-2.6914 0.0000 7.2249
Cs Rb O
8 6 4
Cartesian
5.0972 5.1410 4.4871 Cs
2.5224 2.1600 6.7535 Cs
11.6815 5.1410 6.3503 Cs
3.8681 -2.1600 3.1411 Cs
14.2563 2.1600 4.0839 Cs
6.4429 -5.1410 0.8747 Cs
15.6020 -2.1600 0.4714 Cs
13.0272 -5.1410 2.7378 Cs
9.7350 6.5423 1.8062 Rb
7.3393 2.2412 2.8934 Rb
12.1307 2.2412 0.7191 Rb
5.9936 -2.2412 6.5059 Rb
10.7850 -2.2412 4.3315 Rb
8.3893 -6.5423 5.4187 Rb
5.2079 3.5316 2.0492 O
14.2622 3.5316 1.5633 O
3.8622 -3.5316 5.6616 O
12.9165 -3.5316 5.1758 O
```

ρ ... 2.3 Mg/m³
Raw formation energy ... -0.65 eV per atom
Spin magnetization ... 0.00 μB/atom
Symmetry ... C2/c, No. 15



4.
Entry from Alexandria via LeMat-Bulk: an optimized crystal structure of ThZnPdRh (PBE).

```
ThZnPdRh
1.0
3.7879 -2.1901 0.0000
3.7879 2.1901 0.0000
-2.5464 0.0000 4.7025
Th Zn Pd Rh
1 1 1 1
Cartesian
0.0000 0.0000 0.0000 Th
2.5162 0.0000 2.2490 Zn
-0.0115 0.0000 3.0213 Pd
5.0429 0.0000 1.5865 Rh
```

ρ ... 10.8 Mg/m³
Spin magnetization ... 0.00 μB/atom
Excess energy over the best structure of this formula in the dataset ... 0.000 eV/atom
Symmetry ... Cm, No. 8
Energy of formation ... -71.2 kJ per mole of atoms



5.
Entry from Alexandria via LeMat-Bulk: an optimized crystal structure of Ac3EuCo (PBE).

```
Ac3EuCo
1.0
5.7829 0.0000 0.0000
0.0000 5.7829 0.0000
0.0000 0.0000 5.7829
Ac Eu Co
3 1 1
Cartesian
0.0000 0.0000 2.8915 Ac
0.0000 2.8915 0.0000 Ac
2.8915 0.0000 0.0000 Ac
2.8915 2.8915 2.8915 Eu
0.0000 0.0000 0.0000 Co
```

ρ ... 7.7 Mg/m³
Spin magnetization ... 1.58 μB/atom
Symmetry ... Pm-3m, No. 221
Energy of formation ... -0.6 kJ per mole of atoms



6.
Entry from Alexandria via LeMat-Bulk: an optimized crystal structure of AlGaPCl (PBE).

```
AlGaPCl
1.0
5.3786 -1.9527 0.0000
5.3786 1.9527 0.0000
-2.9484 0.0000 5.1043
Al Ga P Cl
1 1 1 1
Cartesian
0.0000 0.0000 0.0000 Al
6.1643 0.0000 3.0773 Ga
4.8516 0.0000 1.1829 P
-0.8582 0.0000 4.2060 Cl
```

ρ ... 2.5 Mg/m³
Raw formation energy ... -0.41 eV per atom
Spin magnetization ... 0.00 μB/atom
Excess energy over the best structure of this formula in the dataset ... 0.159 eV/atom
Symmetry ... Cm, No. 8



7.
Entry from Alexandria via LeMat-Bulk: an optimized crystal structure of Nb2CrPb (PBE).

```
Nb2CrPb
1.0
-1.9714 1.9714 10.3549
1.9714 -1.9714 10.3549
1.9714 1.9714 -10.3549
Nb Cr Pb
4 2 2
Cartesian
2.9571 0.9616 -2.5887 Nb
0.9616 0.9857 2.5887 Nb
-0.9857 1.0098 7.7662 Nb
1.0098 0.9857 12.9437 Nb
0.0000 0.0000 0.0000 Cr
0.0000 1.9714 5.1775 Cr
1.9714 0.0000 5.1775 Pb
0.0000 0.0000 10.3549 Pb
```

ρ ... 9.2 Mg/m³
Spin magnetization ... 0.70 μB/atom
Symmetry ... I-42d, No. 122
Energy of formation ... 74.2 kJ per mole of atoms



8.
Entry from Alexandria via LeMat-Bulk: an optimized crystal structure of BaReTe2 (PBE).

```
BaReTe2
1.0
2.0173 1.1647 9.9445
-2.0173 1.1647 9.9445
0.0000 -2.3294 9.9445
Ba Re Te
1 1 2
Cartesian
0.0000 0.0000 0.0000 Ba
0.0000 0.0000 14.9168 Re
0.0000 0.0000 3.4894 Te
0.0000 0.0000 26.3442 Te
```

ρ ... 6.9 Mg/m³
Raw formation energy ... 0.16 eV per atom
Spin magnetization ... 0.40 μB/atom
Excess energy over the best structure of this formula in the dataset ... 0.439 eV/atom
Symmetry ... R-3m, No. 166



9.
Entry from Alexandria via LeMat-Bulk: an optimized crystal structure of HoBeIr (PBE).

```
HoBeIr
1.0
6.5202 0.0000 0.0000
0.0000 6.5202 0.0000
0.0000 0.0000 5.5456
Ho Be Ir
4 4 4
Cartesian
1.4210 1.4210 0.0000 Ho
1.8391 4.6811 1.3864 Ho
4.6811 1.8391 4.1592 Ho
5.0992 5.0992 2.7728 Ho
0.6196 0.6196 2.7728 Be
2.6405 3.8797 4.1592 Be
3.8797 2.6405 1.3864 Be
5.9005 5.9005 0.0000 Be
1.0420 5.4782 4.1592 Ir
2.2181 2.2181 2.7728 Ir
4.3021 4.3021 0.0000 Ir
5.4782 1.0420 1.3864 Ir
```

ρ ... 10.3 Mg/m³
Spin magnetization ... 0.00 μB/atom
Excess energy over the best structure of this formula in the dataset ... 0.384 eV/atom
Symmetry ... P4_12_12, No. 92
Energy of formation ... -28.4 kJ per mole of atoms



10.
Entry from Alexandria via LeMat-Bulk: an optimized crystal structure of Tm2ZnPd8 (PBE).

```
Tm2ZnPd8
1.0
7.5539 -2.2764 0.0000
7.5539 2.2764 0.0000
-2.3913 0.0000 5.5245
Tm Zn Pd
2 1 8
Cartesian
2.4367 0.0000 1.0564 Tm
10.2798 0.0000 4.4681 Tm
6.3583 0.0000 2.7622 Zn
-0.5794 0.0000 1.3458 Pd
13.2959 0.0000 4.1787 Pd
1.0343 0.0000 3.7327 Pd
3.9999 0.0000 3.4790 Pd
5.2770 0.0000 0.5465 Pd
7.4395 0.0000 4.9779 Pd
8.7166 0.0000 2.0454 Pd
11.6822 0.0000 1.7917 Pd
```

ρ ... 11.0 Mg/m³
Spin magnetization ... 0.00 μB/atom
Symmetry ... C2/m, No. 12
Energy of formation ... -61.2 kJ per mole of atoms



11.
Entry from Alexandria via LeMat-Bulk: an optimized crystal structure of Ba2ZrRe (PBE).

```
Ba2ZrRe
1.0
0.0000 3.8305 3.8305
3.8305 0.0000 3.8305
3.8305 3.8305 0.0000
Ba Zr Re
2 1 1
Cartesian
1.9153 1.9153 1.9153 Ba
5.7458 5.7458 5.7458 Ba
0.0000 0.0000 0.0000 Zr
3.8305 3.8305 3.8305 Re
```

ρ ... 8.2 Mg/m³
Spin magnetization ... 0.00 μB/atom
Excess energy over the best structure of this formula in the dataset ... 0.970 eV/atom
Symmetry ... Fm-3m, No. 225
Energy of formation ... 137.2 kJ per mole of atoms



12.
Entry from Alexandria via LeMat-Bulk: an optimized crystal structure of TaTcAu2 (PBE).

```
TaTcAu2
1.0
-1.9507 1.9507 4.3904
1.9507 -1.9507 4.3904
1.9507 1.9507 -4.3904
Ta Tc Au
1 1 2
Cartesian
0.0000 0.0000 0.0000 Ta
0.0000 0.0000 4.3904 Tc
1.9507 0.0000 2.1952 Au
0.0000 1.9507 2.1952 Au
```

ρ ... 16.7 Mg/m³
Spin magnetization ... 0.00 μB/atom
Excess energy over the best structure of this formula in the dataset ... 0.073 eV/atom
Symmetry ... I4/mmm, No. 139
Energy of formation ... 3.4 kJ per mole of atoms